Entry from Alexandria: an optimized crystal structure of In2CoIr (PBE-GGA).

The space group is I-42d (No. 122) and the conventional cell measures 7.2205, 7.2205 and 5.6243 Å, with angles of 90.00, 90.00 and 90.00 degrees. The distinct sites, in fractional coordinates, are In at (0.2383, 0.7500, 0.1250), Co at (0.0000, 0.0000, 0.0000) and Ir at (0.0000, 0.0000, 0.5000).

Its crystal system is tetragonal.

=====

Entry from Alexandria: an optimized crystal structure of In2Co2Ir (PBE-GGA).

The space group is P4/mbm (No. 127) and the conventional cell measures 6.3499, 6.3499 and 3.9600 Å, with angles of 90.00, 90.00 and 90.00 degrees. The distinct sites, in fractional coordinates, are In at (0.1795, 0.3205, 0.0000), Co at (0.1235, 0.6235, 0.5000) and Ir at (0.0000, 0.0000, 0.5000).

Its crystal system is tetragonal.

=====

Entry from Alexandria: an optimized crystal structure of In2CoIr (PBE-GGA).

The space group is Pmm2 (No. 25) and the conventional cell measures 3.0287, 3.9537 and 5.7450 Å, with angles of 90.00, 90.00 and 90.00 degrees. The distinct sites, in fractional coordinates, are In at (0.0000, 0.0000, 0.0000), In at (0.5000, 0.5000, 0.3270), Co at (0.5000, 0.5000, 0.7949) and Ir at (0.0000, 0.0000, 0.5333).

Its crystal system is orthorhombic.

=====

Entry from Alexandria: an optimized crystal structure of In2CoIr (PBE-GGA).

The space group is F-43m (No. 216) and the conventional cell measures 6.4670, 6.4670 and 6.4670 Å, with angles of 90.00, 90.00 and 90.00 degrees. The distinct sites, in fractional coordinates, are In at (0.0000, 0.0000, 0.0000), In at (0.2500, 0.2500, 0.2500), Co at (0.0000, 0.0000, 0.5000) and Ir at (0.2500, 0.2500, 0.7500).

Its crystal system is cubic.

=====

Entry from Alexandria: an optimized crystal structure of InCo2Ir (PBE-GGA).

The space group is P4/mmm (No. 123) and the conventional cell measures 4.3769, 4.3769 and 2.9273 Å, with angles of 90.00, 90.00 and 90.00 degrees. The distinct sites, in fractional coordinates, are In at (0.0000, 0.0000, 0.0000), Co at (0.0000, 0.5000, 0.5000) and Ir at (0.5000, 0.5000, 0.0000).

Its crystal system is tetragonal.

=====

Entry from Alexandria: an optimized crystal structure of InCoIr3 (PBE-GGA).

The space group is Pm-3m (No. 221) and the conventional cell measures 4.5036, 4.5036 and 4.5036 Å, with angles of 90.00, 90.00 and 90.00 degrees. The distinct sites, in fractional coordinates, are In at (0.0000, 0.0000, 0.0000), Co at (0.5000, 0.5000, 0.5000) and Ir at (0.0000, 0.5000, 0.5000).

The value obtained for the energy relative to the lowest polymorph listed for this composition is 0 meV/atom. Its crystal system is cubic.

=====

Entry from Alexandria: an optimized crystal structure of In2CoIr (PBE-GGA).

The space group is Cm (No. 8) and the conventional cell measures 10.1507, 3.0017 and 4.6946 Å, with angles of 90.00, 109.37 and 90.00 degrees. The distinct sites, in fractional coordinates, are In at (0.0000, 0.0000, 0.0000), In at (0.2130, 0.0000, 0.6216), Co at (0.4631, 0.0000, 0.4911) and Ir at (0.2565, 0.5000, 0.1480).

Its crystal system is monoclinic.

=====

Entry from Alexandria: an optimized crystal structure of InCoIr (PBE-GGA).

The space group is P2_1/m (No. 11) and the conventional cell measures 3.8289, 4.0762 and 6.1610 Å, with angles of 90.00, 108.18 and 90.00 degrees. The distinct sites, in fractional coordinates, are In at (0.0951, 0.2500, 0.1902), Co at (0.2471, 0.7500, 0.4945) and Ir at (0.4055, 0.2500, 0.8108).

The value obtained for the energy relative to the lowest polymorph listed for this composition is 26 meV/atom. Its crystal system is monoclinic.

=====

Energy of formation values (in eV per atom) by entry order: 0.51 0.21 0.23 0.36 0.20 1.12 0.09 0.15.